Hf2UC: relaxed, GGA-PBE.

Results
**N(E_F)**: 1.11 states/eV/atom
**Total energy**: -40.95 eV/cell
**E_form**: -0.132 eV/atom

a b c (Å): 3.1430 3.1430 9.0686
angles (deg): 80.02 80.02 60.00
Fractional coordinates of all 4 atoms:
Hf 0.1181 0.1181 0.6457
Hf 0.8819 0.8819 0.3543
C 0.5000 0.5000 0.5000
U 0.0000 0.0000 0.0000